This record from the Alexandria database describes a relaxed PrSm4Dy3 crystal. The functional is PBE-GGA.

Lattice parameters (Å, degrees): 11.564 7.336 6.336 90.00 90.00 90.00
Atoms (fractional coordinates):
Pr  0.000  0.125  0.000
Pr  0.500  0.875  0.500
Sm  0.000  0.374  0.503
Sm  0.000  0.627  0.999
Sm  0.247  0.625  0.334
Sm  0.253  0.375  0.834
Sm  0.500  0.373  0.499
Sm  0.500  0.626  0.003
Sm  0.747  0.375  0.834
Sm  0.753  0.625  0.334
Dy  0.000  0.876  0.500
Dy  0.250  0.124  0.333
Dy  0.250  0.876  0.833
Dy  0.500  0.124  0.000
Dy  0.750  0.124  0.333
Dy  0.750  0.876  0.833

Calculated formation energy: 26 meV per atom
Magnetization: 0.000 μB per atom
DFT total energy: -0.342 Ry per atom
SG: Pmn2_1 (31)
DOS at the Fermi energy: 27.9 states/eV per cell